First-principles (PBE with a Hubbard U) data for Cs2VSiO4 after structural relaxation, as listed in Alexandria.

Magnetic moment (μB/cell): 6.00
Symmetry: Fddd, No. 70
Total DFT energy (no corrections) (eV per atom): -6.30

Cell lengths 12.556, 11.227, 6.773 Å; angles 84.62, 62.90, 32.48 degrees
Positions (direct):
Cs  0.049  0.049  0.701
Cs  0.299  0.299  0.951
Cs  0.701  0.701  0.049
Cs  0.951  0.951  0.299
V  0.125  0.125  0.125
V  0.875  0.875  0.875
Si  0.375  0.375  0.375
Si  0.625  0.625  0.625
O  0.061  0.608  0.539
O  0.291  0.539  0.608
O  0.392  0.939  0.709
O  0.461  0.709  0.939
O  0.539  0.291  0.061
O  0.608  0.061  0.291
O  0.709  0.461  0.392
O  0.939  0.392  0.461